YZn3Au2 | PBE | optimized geometry

Output
- electronic total energy (eV per atom) = -3.27
- DFT formation energy (eV/atom) = -0.460
- ρ (g/cm3) = 10.2

Lattice parameters (Å, degrees): 16.728 4.144 6.703 90.00 108.12 90.00
Space group C2/m (No. 12)
Symmetry-distinct sites (fractional):
Y 0.113 0.000 0.150
Zn 0.074 0.000 0.635
Zn 0.135 0.500 0.493
Zn 0.194 0.500 0.904
Au 0.020 0.500 0.801
Au 0.240 0.000 0.679